Below is ScV2GaO8 after structural relaxation, with properties calculated at the GGA+U level.

a b c (Å): 5.6755 5.6755 5.6755
angles (deg): 108.31 108.31 111.83
Last column: nearest neighbours and their distance in Å.
Fractional coordinates of all 12 atoms:
O1 0.3278 0.5284 0.2006  1 V 1.73
O2 0.4716 0.6722 0.7994  1 V 1.73
O3 0.3278 0.1273 0.7994  1 V 1.73
O4 0.7824 0.0768 0.7056  1 V 1.76
O5 0.9232 0.6287 0.7056  1 V 1.76
O6 0.3713 0.0768 0.2944  1 V 1.76
O7 0.9232 0.2176 0.2944  1 V 1.76
O8 0.8727 0.6722 0.2006  1 V 1.73
Sc1 0.2500 0.7500 0.5000  4 O 2.05
V1 0.7500 0.2500 0.5000  4 O 1.76
V2 0.5000 0.5000 0.0000  4 O 1.73
Ga1 0.0000 0.0000 0.0000  4 O 2.02

## Properties
- Raw total energy: -7.41 eV/atom
- M_tot: 0.00 Bohr magnetons per cell